LaSi2Se | PBE-GGA | optimized geometry

POSCAR file:
```
LaSi2Se
1.0
-3.630 5.191 4.907
-6.304 0.260 -4.939
-6.183 0.518 1.420
La Si Se
2 4 2
Direct
0.750 0.250 0.500
0.000 0.000 0.000
0.590 0.125 0.250
0.875 0.840 0.750
0.375 0.410 0.750
0.160 0.625 0.250
0.500 0.500 0.000
0.250 0.750 0.500
```

Computed properties:
N(E_F) = 8.05 states/eV/cell
SG = I-42d

***

La5SiSe4 | PBE-GGA | optimized geometry

POSCAR file:
```
La5SiSe4
1.0
-3.418 -0.576 -5.045
-1.115 -7.118 -2.145
-7.374 -0.566 1.347
Si Se La
1 4 5
Direct
0.001 0.000 0.000
0.802 0.798 0.599
0.600 0.599 0.202
0.402 0.401 0.798
0.199 0.202 0.401
0.708 0.195 0.391
0.294 0.805 0.609
0.099 0.609 0.195
0.903 0.391 0.805
0.501 0.000 0.000
```

Computed properties:
N(E_F) = 5.94 states/eV/cell
SG = I4/m

***

La2SiSe | PBE-GGA | optimized geometry

POSCAR file:
```
La2SiSe
1.0
4.355 0.000 0.000
0.000 4.355 0.000
0.000 0.000 6.142
Si La Se
1 2 1
Direct
0.500 0.500 0.875
0.000 0.000 0.875
0.500 0.500 0.375
0.000 0.000 0.375
```

Computed properties:
N(E_F) = 1.17 states/eV/cell
energy above the lowest structure with this stoichiometry = 0 meV/atom
SG = P4/mmm

***

VASP energy (computed, eV/f.u.): -19.7; -61.8; -24.2